--- P ---
Below is SrRhSe after structural relaxation, with properties calculated at the GGA-PBE level.

POSCAR file:
```
SrRhSe
1.0
5.8251 0.0176 -0.0198
4.6835 3.4658 -0.0235
1.1416 0.3861 3.4265
Rh Sr Se
1 1 1
Direct
0.9495 0.9495 0.0505
0.6674 0.6674 0.3326
0.3831 0.3831 0.6169
```

Results
crystal system = tetragonal



--- Q ---
Below is SrRhSe after structural relaxation, with properties calculated at the GGA-PBE level.

POSCAR file:
```
SrRhSe
1.0
4.2750 0.0000 0.0000
-2.1375 3.7023 0.0000
0.0000 0.0000 4.4095
Se Rh Sr
1 1 1
Direct
0.6667 0.3333 0.1663
0.0000 0.0000 0.1670
0.3333 0.6667 0.6666
```

Results
crystal system = hexagonal



Order from most stable to least stable according to the calculation: Q, P



--- P ---
Below is SrRhSe after structural relaxation, with properties calculated at the GGA-PBE level.

POSCAR file:
```
SrRhSe
1.0
4.6567 0.0000 0.0000
2.3283 4.0328 0.0000
2.3283 1.3443 3.8022
Sr Se Rh
1 1 1
Direct
0.5000 0.5000 0.5000
0.0000 0.0000 0.0000
0.7500 0.7500 0.7500
```

Results
crystal system = cubic



--- Q ---
Below is SrRhSe after structural relaxation, with properties calculated at the GGA-PBE level.

POSCAR file:
```
SrRhSe
1.0
-3.4592 -3.4702 -0.3816
-2.0524 -1.8797 4.0507
-4.6714 1.0550 1.1041
Sr Se Rh
1 1 1
Direct
0.7500 0.7500 0.7500
0.5000 0.5000 0.5000
0.0000 0.0000 0.0000
```

Results
crystal system = cubic



Order from most stable to least stable according to the calculation: P, Q



--- P ---
Below is TaRhSe4 after structural relaxation, with properties calculated at the GGA-PBE level.

POSCAR file:
```
TaRhSe4
1.0
0.0000 3.8442 3.8442
3.8442 0.0000 3.8442
3.8442 3.8442 0.0000
Se Ta Rh
4 1 1
Direct
0.8754 0.3749 0.3749
0.3749 0.8754 0.3749
0.3749 0.3749 0.8754
0.3749 0.3749 0.3749
0.7500 0.7500 0.7500
0.0000 0.0000 0.0000
```

Results
crystal system = cubic



--- Q ---
Below is TaRhSe4 after structural relaxation, with properties calculated at the GGA-PBE level.

POSCAR file:
```
TaRhSe4
1.0
5.5522 0.0000 0.0000
0.0000 7.3244 -0.5024
0.0000 -3.3621 6.4094
Se Ta Rh
8 2 2
Direct
0.7814 0.6784 0.3227
0.7907 0.1848 0.8238
0.7093 0.6848 0.8238
0.2907 0.3152 0.1762
0.2186 0.3216 0.6773
0.2093 0.8152 0.1762
0.2814 0.8216 0.6773
0.7186 0.1784 0.3227
0.5000 0.0000 0.5000
0.0000 0.5000 0.5000
0.0000 0.0000 0.0000
0.5000 0.5000 0.0000
```

Results
crystal system = monoclinic



Order from most stable to least stable according to the calculation: Q, P



--- P ---
Below is TaRhSe after structural relaxation, with properties calculated at the GGA-PBE level.

POSCAR file:
```
TaRhSe
1.0
4.3327 0.0000 0.0000
2.1663 3.7522 0.0000
2.1663 1.2507 3.5376
Ta Se Rh
1 1 1
Direct
0.7500 0.7500 0.7500
0.5000 0.5000 0.5000
0.0000 0.0000 0.0000
```

Results
crystal system = cubic



--- Q ---
Below is TaRhSe after structural relaxation, with properties calculated at the GGA-PBE level.

POSCAR file:
```
TaRhSe
1.0
-2.1847 1.4313 -2.2723
0.6245 -0.2512 -3.3959
-6.7624 -9.7640 -2.2859
Rh Ta Se
2 2 2
Direct
0.1405 0.1405 0.5785
0.8595 0.8595 0.4215
0.5707 0.5707 0.2880
0.4293 0.4293 0.7120
0.7141 0.7141 0.8576
0.2859 0.2859 0.1424
```

Results
crystal system = trigonal



Order from most stable to least stable according to the calculation: Q, P



--- P ---
Below is TaRhSe after structural relaxation, with properties calculated at the GGA-PBE level.

POSCAR file:
```
TaRhSe
1.0
-1.6930 2.9887 0.1829
-0.8541 -2.5915 2.0945
3.7443 1.8847 3.8588
Ta Se Rh
1 1 1
Direct
0.3333 0.6667 0.6832
0.6667 0.3333 0.3623
0.0000 0.0000 0.9545
```

Results
crystal system = trigonal



--- Q ---
Below is TaRhSe after structural relaxation, with properties calculated at the GGA-PBE level.

POSCAR file:
```
TaRhSe
1.0
-1.6170 2.9260 2.8460
2.6463 -3.2057 1.4129
2.3855 1.7662 -0.4605
Rh Ta Se
1 1 1
Direct
0.0000 0.0000 0.0006
0.6667 0.3333 0.5000
0.3333 0.6667 0.4994
```

Results
crystal system = hexagonal



--- R ---
Below is TaRhSe after structural relaxation, with properties calculated at the GGA-PBE level.

POSCAR file:
```
TaRhSe
1.0
5.5597 -0.0034 0.0037
4.6863 2.9915 0.0030
0.8734 0.2555 2.9839
Rh Ta Se
1 1 1
Direct
0.0059 0.0060 0.9941
0.6728 0.6728 0.3272
0.3212 0.3212 0.6788
```

Results
crystal system = tetragonal



Order from most stable to least stable according to the calculation: P, R, Q



--- P ---
Below is TaRh3Se after structural relaxation, with properties calculated at the GGA-PBE level.

POSCAR file:
```
TaRh3Se
1.0
4.5177 0.0000 0.0000
0.0000 4.5177 0.0000
0.0000 0.0000 4.5177
Rh Ta Se
3 1 1
Direct
0.0000 0.5000 0.0000
0.5000 0.0000 0.0000
0.0000 0.0000 0.5000
0.5000 0.5000 0.5000
0.0000 0.0000 0.0000
```

Results
crystal system = cubic



--- Q ---
Below is TaRh3Se after structural relaxation, with properties calculated at the GGA-PBE level.

POSCAR file:
```
TaRh3Se
1.0
4.7416 0.0000 0.0000
0.0000 4.7416 0.0000
0.0000 0.0000 4.7416
Rh Ta Se
3 1 1
Direct
0.0000 0.5000 0.0000
0.5000 0.0000 0.0000
0.0000 0.0000 0.5000
0.0000 0.0000 0.0000
0.5000 0.5000 0.5000
```

Results
crystal system = cubic



Order from most stable to least stable according to the calculation: P, Q



--- P ---
Below is Te3RhSe after structural relaxation, with properties calculated at the GGA-PBE level.

POSCAR file:
```
Te3RhSe
1.0
5.1945 0.0000 0.0000
0.0000 5.1945 0.0000
0.0000 0.0000 5.1945
Rh Te Se
1 3 1
Direct
0.0000 0.0000 0.0000
0.5000 0.0000 0.0000
0.0000 0.5000 0.0000
0.0000 0.0000 0.5000
0.5000 0.5000 0.5000
```

Results
crystal system = cubic



--- Q ---
Below is Te3RhSe after structural relaxation, with properties calculated at the GGA-PBE level.

POSCAR file:
```
Te3RhSe
1.0
-4.5942 -1.3857 2.4203
2.5506 -0.2011 4.7264
-1.1280 5.1888 0.8295
Se Rh Te
1 1 3
Direct
0.0000 0.0000 0.0000
0.5000 0.5000 0.5000
0.0000 0.5000 0.0000
0.0000 0.0000 0.5000
0.5000 0.0000 0.0000
```

Results
crystal system = cubic



Order from most stable to least stable according to the calculation: P, Q



--- P ---
Below is TiRhSe4 after structural relaxation, with properties calculated at the GGA-PBE level.

POSCAR file:
```
TiRhSe4
1.0
-2.7629 1.8449 -1.2390
-2.0969 -4.7864 -2.4510
-7.1539 -3.3737 10.9293
Se Rh Ti
8 2 2
Direct
0.5001 0.8228 0.1191
0.4999 0.1772 0.8809
0.9999 0.3228 0.6191
0.5000 0.8330 0.6158
0.5000 0.1670 0.3842
0.0001 0.6772 0.3809
0.0000 0.6670 0.8842
0.0000 0.3330 0.1158
0.0000 0.0000 0.5000
0.5000 0.5000 0.0000
0.0000 0.0000 0.0000
0.5000 0.5000 0.5000
```

Results
crystal system = monoclinic



--- Q ---
Below is TiRhSe4 after structural relaxation, with properties calculated at the GGA-PBE level.

POSCAR file:
```
TiRhSe4
1.0
-6.1106 2.3377 2.5991
0.9967 -4.2248 6.1432
-0.2188 2.7589 6.5380
Se Rh Ti
8 2 2
Direct
0.2506 0.7619 0.4762
0.2590 0.7557 0.9821
0.7494 0.2381 0.5238
0.2268 0.2381 0.5238
0.7732 0.7619 0.4762
0.7410 0.7378 0.0179
0.7410 0.2443 0.0179
0.2590 0.2622 0.9821
0.0000 0.5000 0.5000
0.0000 0.0000 0.5000
0.0000 0.5000 0.0000
0.5000 0.5000 0.0000
```

Results
crystal system = orthorhombic



Order from most stable to least stable according to the calculation: P, Q



--- P ---
Below is TlRh3Se after structural relaxation, with properties calculated at the GGA-PBE level.

POSCAR file:
```
TlRh3Se
1.0
-2.7195 2.7337 3.1549
-3.5109 -3.5348 0.0366
2.2584 -2.2033 3.8558
Tl Se Rh
1 1 3
Direct
0.0000 0.0000 0.0000
0.5000 0.5000 0.5000
0.0000 0.0000 0.5000
0.0000 0.5000 0.0000
0.5000 0.0000 0.0000
```

Results
crystal system = cubic



--- Q ---
Below is TlRh3Se after structural relaxation, with properties calculated at the GGA-PBE level.

POSCAR file:
```
TlRh3Se
1.0
4.6118 0.0000 0.0000
0.0000 4.6118 0.0000
0.0000 0.0000 4.6118
Se Tl Rh
1 1 3
Direct
0.0000 0.0000 0.0000
0.5000 0.5000 0.5000
0.0000 0.5000 0.0000
0.0000 0.0000 0.5000
0.5000 0.0000 0.0000
```

Results
crystal system = cubic



Order from most stable to least stable according to the calculation: Q, P



--- P ---
Below is Tl2RhSe after structural relaxation, with properties calculated at the GGA-PBE level.

POSCAR file:
```
Tl2RhSe
1.0
7.2554 -0.0016 -0.0040
-2.7410 4.1505 0.0038
1.7733 1.1841 2.9044
Rh Se Tl
1 1 2
Direct
0.0000 0.5000 0.5000
0.5000 0.5000 0.0000
0.0000 0.0000 0.0000
0.5000 0.0000 0.5000
```

Results
crystal system = monoclinic



--- Q ---
Below is Tl2RhSe after structural relaxation, with properties calculated at the GGA-PBE level.

POSCAR file:
```
Tl2RhSe
1.0
-7.3485 0.2268 -2.9881
-6.8050 -3.0802 -2.6805
-2.3584 -0.0921 3.1774
Tl Rh Se
2 1 1
Direct
0.9180 0.9180 0.0819
0.5820 0.5820 0.4181
0.2500 0.2500 0.2500
0.7500 0.7500 0.7500
```

Results
crystal system = orthorhombic



--- R ---
Below is Tl2RhSe after structural relaxation, with properties calculated at the GGA-PBE level.

POSCAR file:
```
Tl2RhSe
1.0
6.6670 0.0000 0.0000
0.0000 6.6670 0.0000
3.3335 3.3335 5.7101
Tl Rh Se
4 2 2
Direct
0.6497 0.1250 0.2500
0.8750 0.8997 0.7500
0.1003 0.6250 0.2500
0.3750 0.3503 0.7500
0.0000 0.0000 0.0000
0.7500 0.2500 0.5000
0.5000 0.5000 0.0000
0.2500 0.7500 0.5000
```

Results
crystal system = tetragonal



--- S ---
Below is Tl2RhSe after structural relaxation, with properties calculated at the GGA-PBE level.

POSCAR file:
```
Tl2RhSe
1.0
0.0000 3.5533 3.5533
3.5533 0.0000 3.5533
3.5533 3.5533 0.0000
Se Tl Rh
1 2 1
Direct
0.0000 0.0000 0.0000
0.7500 0.7500 0.7500
0.2500 0.2500 0.2500
0.5000 0.5000 0.5000
```

Results
crystal system = cubic



Order from most stable to least stable according to the calculation: Q, P, R, S



--- P ---
Below is Tl2RhSe after structural relaxation, with properties calculated at the GGA-PBE level.

POSCAR file:
```
Tl2RhSe
1.0
-1.2475 2.2690 -1.8904
-1.9327 0.9252 2.3847
6.0829 5.6314 2.7450
Se Tl Rh
1 2 1
Direct
0.5000 0.5000 0.7500
0.0000 0.0000 0.4596
0.0000 0.0000 0.0404
0.5000 0.5000 0.2500
```

Results
crystal system = tetragonal



--- Q ---
Below is Tl2RhSe after structural relaxation, with properties calculated at the GGA-PBE level.

POSCAR file:
```
Tl2RhSe
1.0
5.4275 -0.0096 0.0323
4.3970 3.1818 0.0323
2.3432 0.7566 5.6542
Rh Tl Se
1 2 1
Direct
0.4507 0.4507 0.4251
0.1947 0.1947 0.3618
0.0241 0.0241 0.9881
0.8306 0.8306 0.7249
```

Results
crystal system = monoclinic



--- R ---
Below is Tl2RhSe after structural relaxation, with properties calculated at the GGA-PBE level.

POSCAR file:
```
Tl2RhSe
1.0
5.2542 -0.1091 0.0000
1.2637 5.1011 0.0000
-3.2589 -2.4960 3.2814
Tl Rh Se
2 1 1
Direct
0.2500 0.7500 0.5000
0.0000 0.0000 0.0000
0.5000 0.5000 0.0000
0.7500 0.2500 0.5000
```

Results
crystal system = tetragonal



--- S ---
Below is Tl2RhSe after structural relaxation, with properties calculated at the GGA-PBE level.

POSCAR file:
```
Tl2RhSe
1.0
-0.3586 4.4216 -6.1014
-4.0485 3.8053 -5.1025
-1.9712 6.5080 -3.2659
Se Tl Rh
1 2 1
Direct
0.7500 0.7500 0.7500
0.9940 0.9940 0.9940
0.5060 0.5060 0.5060
0.2500 0.2500 0.2500
```

Results
crystal system = trigonal



Order from most stable to least stable according to the calculation: Q, S, P, R



--- P ---
Below is Tl2RhSe after structural relaxation, with properties calculated at the GGA-PBE level.

POSCAR file:
```
Tl2RhSe
1.0
3.3905 0.0000 0.0000
0.0000 3.3886 0.0000
0.0000 0.0000 8.3977
Se Rh Tl
1 1 2
Direct
0.5000 0.5000 0.6708
0.0000 0.0000 0.5695
0.5000 0.5000 0.3004
0.0000 0.0000 0.9593
```

Results
crystal system = tetragonal



--- Q ---
Below is Tl2RhSe after structural relaxation, with properties calculated at the GGA-PBE level.

POSCAR file:
```
Tl2RhSe
1.0
-1.3517 -3.1351 1.5457
2.7877 -2.0494 -1.7189
5.3604 -0.3978 3.8806
Tl Se Rh
2 1 1
Direct
0.0000 0.0096 0.0131
0.0000 0.4904 0.4869
0.5000 0.7500 0.7500
0.5000 0.2500 0.2500
```

Results
crystal system = monoclinic



Order from most stable to least stable according to the calculation: P, Q